(1)
! GGA-PBE Nd2SeO2, relaxed; values from VASP
! Crystal system: orthorhombic
! Raw formation energy in eV per formula unit: -14.71
! Space group: Fddd, No. 70
&SYSTEM
  ibrav = 0, nat = 10, ntyp = 3
/
ATOMIC_SPECIES
O 16.00 O.upf
Se 78.96 Se.upf
Nd 144.24 Nd.upf
ATOMIC_POSITIONS angstrom
O 0.000 0.000 1.402
O -1.138 2.943 1.226
O 1.997 3.298 3.853
O -1.138 2.943 4.030
Se 1.997 3.298 0.000
Se 3.135 0.356 2.628
Nd 0.511 1.944 2.628
Nd -2.787 3.941 2.628
Nd 4.621 1.710 0.000
Nd -0.627 4.887 0.000
CELL_PARAMETERS angstrom
6.270 0.711 0.000
-2.276 5.886 0.000
-1.997 -3.298 5.255



(2)
! GGA-PBE La2SmY3Ho6, relaxed; values from VASP
! Crystal system: monoclinic
! Energy of formation from the pure elements in eV per atom: 0.024
! Space group: C2/m, No. 12
&SYSTEM
  ibrav = 0, nat = 12, ntyp = 4
/
ATOMIC_SPECIES
Ho 164.93 Ho.upf
Sm 150.36 Sm.upf
Y 88.91 Y.upf
La 138.91 La.upf
ATOMIC_POSITIONS angstrom
Ho 3.093 1.777 8.710
Ho -1.034 1.788 2.962
Ho 2.065 -0.002 2.962
Ho -0.006 3.567 8.710
Ho 2.073 3.589 2.970
Ho -0.014 -0.024 8.702
Sm 0.000 0.000 0.000
Y 1.029 1.782 5.836
Y 4.136 -0.012 5.836
Y -2.078 3.577 5.836
La 3.106 1.793 0.008
La 0.001 3.587 0.008
CELL_PARAMETERS angstrom
6.211 0.000 0.008
-3.104 5.380 0.008
-1.048 -1.815 11.657



| no. | total moment (μB per formula unit) |
| --- | --- |
| 1 | 0.00 |
| 2 | 0.00 |